! K2PRu PBEsol relaxed; values from VASP
&SYSTEM
  ibrav = 0, nat = 4, ntyp = 3
/
ATOMIC_SPECIES
Ru 101.07 Ru.upf
K 39.10 K.upf
P 30.97 P.upf
CELL_PARAMETERS angstrom
-1.2380 1.6995 -3.0703
-4.0552 -3.4465 -0.2726
-1.1896 5.2516 3.3867
ATOMIC_POSITIONS angstrom
Ru -3.1705 -0.2990 -1.1422
K -5.0748 1.6187 2.9424
K -2.3322 2.7286 0.1957
P -3.1675 -0.4731 1.0154
! - Calculated density: 3.05 g/cm3
! - Space-group type: Amm2
! - Fermi-level density of states: 1.96 states/eV per cell
! - ΔE_f: 0.115 eV per atom
! - DFT total energy: -4.4428 eV per atom

***

! K2PRu PBEsol relaxed; values from VASP
&SYSTEM
  ibrav = 0, nat = 4, ntyp = 3
/
ATOMIC_SPECIES
Ru 101.07 Ru.upf
K 39.10 K.upf
P 30.97 P.upf
CELL_PARAMETERS angstrom
4.3988 0.0000 0.0867
0.0000 4.9419 0.0000
-0.6195 0.0000 7.3290
ATOMIC_POSITIONS angstrom
Ru -0.3097 2.4709 3.6645
K 1.0280 0.0000 1.9233
K 2.7513 0.0000 5.4924
P 1.8897 2.4709 3.7079
! - Calculated density: 2.19 g/cm3
! - Space-group type: P2/m
! - Fermi-level density of states: 5.23 states/eV per cell
! - ΔE_f: 0.359 eV per atom
! - DFT total energy: -4.1985 eV per atom

***

! K3P5RuSe10 PBEsol relaxed; values from VASP
&SYSTEM
  ibrav = 0, nat = 38, ntyp = 4
/
ATOMIC_SPECIES
Se 78.96 Se.upf
P 30.97 P.upf
K 39.10 K.upf
Ru 101.07 Ru.upf
CELL_PARAMETERS angstrom
-5.1505 1.5913 4.8703
-4.0952 -10.2491 -0.9822
7.7365 -3.1170 9.2000
ATOMIC_POSITIONS angstrom
Se -4.0856 -9.3483 1.4429
Se -0.0380 -4.4801 12.1845
Se 2.9930 -10.9433 6.9663
Se -1.8826 -3.8366 1.9719
Se 2.8032 -4.2075 4.3505
Se 0.2386 -3.4152 6.7755
Se 1.7513 -7.4745 7.0034
Se 0.3733 -7.9382 11.1162
Se -3.2606 -4.3003 6.0847
Se 3.6649 -2.1188 7.2773
Se 0.6322 -10.2139 9.1987
Se -1.4713 -7.2947 0.9036
Se 2.5764 -2.4265 11.6452
Se -4.3125 -7.5673 8.7376
Se -4.5023 -0.8315 6.1218
Se -1.7479 -8.3596 6.3126
Se -2.1415 -1.5609 3.8894
Se -3.9742 -6.5215 3.2703
Se -5.1742 -9.6560 5.8108
Se 2.4649 -5.2533 9.8178
P -3.8007 -7.2300 1.0521
P -6.3390 -3.5825 5.0784
P 0.3238 -8.8564 5.9453
P 4.8297 -8.1923 8.0097
P -1.8331 -2.9184 7.1428
P 0.7752 -10.7667 7.0469
P 2.4688 -7.4629 10.2422
P 2.2914 -4.5448 12.0360
P -3.9781 -4.3119 2.8460
P -2.2845 -1.0081 6.0412
K -0.2595 -5.6979 4.2965
K -2.2699 -10.8761 3.8623
K -1.2498 -6.0769 8.7916
K 0.7606 -0.8987 9.2258
K 5.5020 -3.5116 9.6752
K -7.0113 -8.2632 3.4129
Ru 2.8879 -9.0507 8.7204
Ru -4.3972 -2.7241 4.3677
! - Calculated density: 3.87 g/cm3
! - Space-group type: P2_1/m
! - Formation energy from raw total energies: -0.518 eV/atom
! - DFT total energy: -4.7833 eV per atom

***

! K3PS4 PBEsol relaxed; values from VASP
&SYSTEM
  ibrav = 0, nat = 32, ntyp = 3
/
ATOMIC_SPECIES
S 32.06 S.upf
K 39.10 K.upf
P 30.97 P.upf
CELL_PARAMETERS angstrom
8.9091 0.0000 0.0000
0.0000 9.0893 0.0000
0.0000 0.0000 10.3956
ATOMIC_POSITIONS angstrom
S 8.7634 5.2829 2.5989
S 4.6003 0.7382 7.7967
S 4.3088 8.3511 2.5989
S 1.4484 8.7395 0.9033
S 5.9029 4.8945 0.9033
S 7.4608 0.3499 6.1011
S 6.2002 6.8698 7.7967
S 2.7090 2.2195 2.5989
S 5.9029 4.8945 4.2945
S 3.0062 4.1948 6.1011
S 3.0062 4.1948 9.4923
S 0.1458 3.8065 7.7967
S 1.7456 6.7642 7.7967
S 1.4484 8.7395 4.2945
S 7.4608 0.3499 9.4923
S 7.1636 2.3252 2.5989
K 4.9210 1.8318 0.4476
K 5.7451 3.8047 7.7967
K 0.4664 2.7129 0.4476
K 0.4664 2.7129 4.7502
K 8.4427 6.3765 5.6454
K 3.9882 7.2575 5.6454
K 3.9882 7.2575 9.9480
K 4.9210 1.8318 4.7502
K 7.6186 8.3493 2.5989
K 1.2905 0.7400 7.7967
K 3.1641 5.2847 2.5989
K 8.4427 6.3765 9.9480
P 2.4649 0.1840 2.5989
P 6.9194 4.3607 2.5989
P 1.9897 4.7287 7.7967
P 6.4443 8.9054 7.7967
! - Calculated density: 2.18 g/cm3
! - Space-group type: Pnma
! - Fermi-level density of states: 0.00 states/eV per cell
! - Formation energy from raw total energies: -1.015 eV/atom
! - DFT total energy: -4.3560 eV per atom

***

! KSbP2S PBEsol relaxed; values from VASP
&SYSTEM
  ibrav = 0, nat = 5, ntyp = 4
/
ATOMIC_SPECIES
K 39.10 K.upf
Sb 121.76 Sb.upf
P 30.97 P.upf
S 32.06 S.upf
CELL_PARAMETERS angstrom
-1.9094 -2.7458 3.8369
4.2564 -2.7884 0.1227
2.0815 3.3277 3.4172
ATOMIC_POSITIONS angstrom
K 2.2142 -1.1033 3.6884
Sb 0.0000 0.0000 0.0000
P -0.9547 -1.3729 1.9184
P 2.1282 -1.3942 0.0614
S 1.0407 1.6638 1.7086
! - Calculated density: 3.14 g/cm3
! - Space-group type: P4/mmm
! - Fermi-level density of states: 5.22 states/eV per cell
! - Formation energy from raw total energies: 0.418 eV/atom
! - DFT total energy: -3.9134 eV per atom

***

! K2SmP2S7 PBEsol relaxed; values from VASP
&SYSTEM
  ibrav = 0, nat = 24, ntyp = 4
/
ATOMIC_SPECIES
S 32.06 S.upf
Sm 150.36 Sm.upf
P 30.97 P.upf
K 39.10 K.upf
CELL_PARAMETERS angstrom
-1.6346 -1.7880 6.2135
6.7349 -5.2130 0.2716
8.3378 8.1208 0.9514
ATOMIC_POSITIONS angstrom
S 9.1790 6.2139 1.4949
S 5.3020 -0.6525 6.4142
S 9.8788 2.1677 5.9239
S 6.8735 4.0496 2.4086
S 8.5981 -0.9892 6.3627
S 7.3926 0.9588 3.8489
S 3.1810 -1.5253 3.0791
S 6.8227 -2.6476 4.0470
S 5.4960 -3.7413 1.2402
S 5.5019 3.2110 5.2785
S 10.6671 3.0936 2.7987
S 2.3256 -2.3975 6.2022
S 8.2431 -1.7556 0.9914
S 4.4718 1.7061 2.4738
Sm 5.8339 -0.7744 2.1279
Sm 7.2315 1.4865 6.7252
P 11.8964 4.2736 1.6842
P 6.0707 2.4967 3.4565
P 2.7635 -1.8174 1.1078
P 6.8463 -1.9470 5.9608
K 10.3131 -0.2693 3.2915
K 4.2707 -4.3814 4.3786
K 8.7395 5.0331 4.6844
K 2.8254 1.0613 5.2837
! - Calculated density: 2.72 g/cm3
! - Space-group type: C2
! - Fermi-level density of states: 0.00 states/eV per cell
! - Formation energy from raw total energies: -1.046 eV/atom
! - DFT total energy: -5.1815 eV per atom

***

! KSmP2S7 PBEsol relaxed; values from VASP
&SYSTEM
  ibrav = 0, nat = 44, ntyp = 4
/
ATOMIC_SPECIES
S 32.06 S.upf
Sm 150.36 Sm.upf
P 30.97 P.upf
K 39.10 K.upf
CELL_PARAMETERS angstrom
8.9087 0.0125 0.0000
-0.0384 9.5763 0.0000
0.0000 0.0000 12.2476
ATOMIC_POSITIONS angstrom
S 5.1419 0.8443 2.0881
S 7.8803 3.5608 3.5596
S 3.7284 8.7445 10.1594
S 3.4260 3.5545 2.5642
S 5.0633 3.2362 5.8029
S 2.8205 9.4681 6.8502
S 8.2613 6.3589 11.9267
S 0.9900 6.0281 8.6880
S 3.1304 8.1549 3.7349
S 3.7829 2.3734 11.5852
S 7.2748 9.4744 11.5211
S 2.5109 6.0262 11.5494
S 0.6875 0.8381 4.0357
S 6.9652 6.0324 6.8219
S 1.2855 1.4277 9.8587
S 1.5954 0.1145 0.7264
S 5.7399 1.4339 8.5126
S 5.0874 7.2154 0.6623
S 1.9050 3.5564 5.4256
S 0.6331 7.2092 5.4615
S 0.6090 3.2300 0.3209
S 3.8070 6.3526 6.4447
S 6.3594 3.5627 0.6982
S 6.0498 0.1207 5.3973
S 8.1827 8.7508 8.2119
S 7.5847 8.1612 2.3888
S 5.4443 6.0343 9.6833
S 8.2372 2.3797 6.7861
Sm 3.5171 1.3620 4.3776
Sm 5.3532 8.2269 7.8700
Sm 7.9714 1.3682 1.7462
Sm 0.8989 8.2206 10.5013
P 6.2168 1.7729 6.5685
P 7.1078 7.8222 0.4447
P 8.6597 6.9543 7.3828
P 4.2054 6.9481 10.9886
P 2.6535 7.8159 5.6790
P 1.7624 1.7666 11.8028
P 0.2106 2.6345 4.8648
P 4.6649 2.6407 1.2590
K 3.2809 3.7727 8.4826
K 1.1351 5.8098 2.3588
K 5.5894 5.8161 3.7649
K 7.7352 3.7790 9.8887
! - Calculated density: 3.03 g/cm3
! - Space-group type: P2_1/c
! - Fermi-level density of states: 0.00 states/eV per cell
! - Formation energy from raw total energies: -0.928 eV/atom
! - DFT total energy: -5.3365 eV per atom

***

! KSnPS4 PBEsol relaxed; values from VASP
&SYSTEM
  ibrav = 0, nat = 28, ntyp = 4
/
ATOMIC_SPECIES
S 32.06 S.upf
K 39.10 K.upf
Sn 118.71 Sn.upf
P 30.97 P.upf
CELL_PARAMETERS angstrom
6.6226 0.0617 0.0000
-0.2326 8.6881 0.0000
0.0000 0.0000 11.9572
ATOMIC_POSITIONS angstrom
S 5.1666 0.7207 0.8765
S -0.0259 3.1247 2.9726
S 3.2209 1.2502 8.9512
S 1.4707 2.6772 11.4244
S 4.9193 6.0726 0.5327
S 1.7390 5.0338 5.1021
S 3.1222 5.6238 9.1257
S 1.2234 8.0292 11.0807
S 4.6510 3.7160 6.8551
S 6.4159 5.6252 8.9845
S 6.5498 1.3106 8.8100
S -0.1598 7.4392 3.1472
S 3.1691 7.4996 3.0060
S 3.2678 3.1260 2.8314
S 1.7243 1.6977 5.4459
S 4.6657 7.0521 6.5113
K 4.8418 3.2920 10.7573
K 4.9758 1.1447 4.7787
K 1.5482 5.4579 1.1999
K 1.4142 7.6051 7.1785
Sn 1.2377 0.9719 1.5920
Sn 1.9573 3.4030 7.5706
Sn 4.4327 5.3469 4.3866
Sn 5.1523 7.7779 10.3652
P 4.7126 5.5088 7.8744
P 1.5176 1.1339 10.0614
P 1.6774 3.2410 4.0828
P 4.8724 7.6160 1.8958
! - Calculated density: 3.06 g/cm3
! - Space-group type: P2_1/c
! - Fermi-level density of states: 0.00 states/eV per cell
! - Formation energy from raw total energies: -0.647 eV/atom
! - DFT total energy: -4.7498 eV per atom